(1)
DFT (GGA-PBE) results for a geometry-optimized NbGaSn structure.

CIF file:
```
data_NbGaSn
_space_group_name_H-M_alt 'P 3 m 1'
_space_group_IT_number 156
_cell_length_a 4.8338
_cell_length_b 4.8338
_cell_length_c 2.8522
_cell_angle_alpha 90.00
_cell_angle_beta 90.00
_cell_angle_gamma 120.00
loop_
_space_group_symop_operation_xyz
'x,y,z'
'-y,x-y,z'
'-x+y,-x,z'
'-y,-x,z'
'-x+y,y,z'
'x,x-y,z'
loop_
_atom_site_label
_atom_site_fract_x
_atom_site_fract_y
_atom_site_fract_z
_atom_site_occupancy
Nb1 0.0000 0.0000 0.0000 1
Ga1 0.3333 0.6667 0.5115 1
Sn1 0.6667 0.3333 0.4993 1
```

Properties
Its crystal system is trigonal. The formation energy is 0.132 eV/atom. The value obtained for the energy above the most stable polymorph in this dataset is 93.0 meV per atom.



(2)
DFT (GGA-PBE) results for a geometry-optimized AlAs2Rh structure.

CIF file:
```
data_AlAs2Rh
_space_group_name_H-M_alt 'R 3 m'
_space_group_IT_number 160
_space_group_name_Hall 'R 3 -2"'
_cell_length_a 3.0026
_cell_length_b 3.0026
_cell_length_c 28.5860
_cell_angle_alpha 90.00
_cell_angle_beta 90.00
_cell_angle_gamma 120.00
loop_
_atom_site_label
_atom_site_fract_x
_atom_site_fract_y
_atom_site_fract_z
_atom_site_occupancy
Al1 0.0000 0.0000 0.0000 1
As1 0.0000 0.0000 0.5338 1
As2 0.0000 0.0000 0.7386 1
Rh1 0.0000 0.0000 0.2646 1
```

Properties
Its crystal system is trigonal. The formation energy is -0.228 eV/atom.